Material: Dy4Tl3In
Method: DFT, PBE
State: optimized geometry

a b c (Å): 4.334 4.594 11.521
angles (deg): 90.00 90.00 90.00
Atoms (fractional coordinates):
Dy: 0.000 0.000 0.000
Dy: 0.000 0.500 0.497
Dy: 0.500 0.000 0.730
Dy: 0.500 0.500 0.229
Tl: 0.000 0.500 0.769
Tl: 0.500 0.000 0.456
Tl: 0.500 0.500 0.957
In: 0.000 0.000 0.276

Values from the calculation:
Uncorrected energy (eV/atom): -3.868
Energy above the most stable polymorph in this dataset (eV/atom): 0.037
Total magnetic moment (μB per atom): 0.000
Energy of formation from the pure elements (meV per atom): -338